# GGA-PBE Nd5Sm2Bi5, optimized geometry
# - DOS(E_F) (states/eV per cell) = 9.44
# - formation energy (eV per atom) = -0.683
# - space-group type = No. 12
data_Nd5Sm2Bi5
_chemical_formula_sum 'Nd5 Sm2 Bi5'
_symmetry_space_group_name_H-M 'P 1'
_symmetry_Int_Tables_number 1
_cell_length_a 7.838
_cell_length_b 7.838
_cell_length_c 13.190
_cell_angle_alpha 109.46
_cell_angle_beta 109.46
_cell_angle_gamma 33.78
loop_
_symmetry_equiv_pos_as_xyz
'x,y,z'
loop_
_atom_site_label
_atom_site_fract_x
_atom_site_fract_y
_atom_site_fract_z
Nd1 0.000 0.000 0.000
Nd2 0.161 0.161 0.536
Nd3 0.221 0.221 0.842
Nd4 0.779 0.779 0.158
Nd5 0.839 0.839 0.464
Sm1 0.455 0.455 0.713
Sm2 0.545 0.545 0.287
Bi1 0.193 0.193 0.288
Bi2 0.381 0.381 0.068
Bi3 0.500 0.500 0.500
Bi4 0.619 0.619 0.932
Bi5 0.807 0.807 0.712